(1)
This record from the Alexandria database describes an optimized crystal structure of GaAgBr4. The functional is PBE.

The space group is C2/c (No. 15) and the conventional cell measures 10.1910, 9.1890 and 9.2004 Å, with angles of 90.00, 92.18 and 90.00 degrees. The asymmetric unit holds Ga at (0.0000, 0.1355, 0.2500), Ag at (0.2500, 0.2500, 0.0000), Br at (0.0011, 0.2897, 0.4607) and Br at (0.1972, 0.0034, 0.2484).

As for the theoretical density: 3.836 Mg/m³. The calculation puts the volume at 860.9 Å³/cell. For the energy relative to the lowest polymorph listed for this composition, the calculation gives 4.5 meV/atom. As for the raw total energy: -2.765 eV/atom. The calculation puts the energy relative to the elements, uncorrected at -388 kJ/mol of formula units.

(2)
This record from the Alexandria database describes an optimized crystal structure of Ga5Ag3Br12. The functional is PBE.

The space group is Ia-3d (No. 230) and the conventional cell measures 17.2056, 17.2056 and 17.2056 Å, with angles of 90.00, 90.00 and 90.00 degrees. The asymmetric unit holds Ga at (0.0000, 0.0000, 0.0000), Ga at (0.0000, 0.2500, 0.3750), Ag at (0.0000, 0.2500, 0.1250) and Br at (0.0315, 0.0656, 0.6615).

As for the theoretical density: 4.254 Mg/m³. The calculation puts the volume at 5093.4 Å³/cell. As for the raw total energy: -2.603 eV/atom. The calculation puts the energy relative to the elements, uncorrected at -801 kJ/mol of formula units.

(3)
This record from the Alexandria database describes an optimized crystal structure of GaAg2Br5. The functional is PBE.

The space group is C2/c (No. 15) and the conventional cell measures 10.9229, 10.8442 and 9.9717 Å, with angles of 90.00, 118.63 and 90.00 degrees. The asymmetric unit holds Ga at (0.0000, 0.0959, 0.2500), Ag at (0.0000, 0.5000, 0.0000), Ag at (0.2500, 0.2500, 0.0000), Br at (0.0000, 0.3939, 0.7500), Br at (0.0066, 0.2181, 0.4487) and Br at (0.1993, 0.0361, 0.8311).

As for the theoretical density: 4.389 Mg/m³. The calculation puts the volume at 1036.7 Å³/cell. For the energy relative to the lowest polymorph listed for this composition, the calculation gives 0.0 meV/atom. As for the raw total energy: -2.675 eV/atom. The calculation puts the energy relative to the elements, uncorrected at -415 kJ/mol of formula units.

(4)
This record from the Alexandria database describes an optimized crystal structure of GaAg2Br5. The functional is PBE.

The space group is P1 (No. 1) and the conventional cell measures 7.4203, 7.6772 and 7.6813 Å, with angles of 94.58, 116.93 and 117.00 degrees. The asymmetric unit holds Ga at (0.0000, 0.0000, 0.0000), Ag at (0.5017, 0.5445, 0.4570), Ag at (0.5031, 0.1000, 0.9061), Br at (0.0272, 0.9332, 0.7004), Br at (0.4898, 0.2576, 0.2462), Br at (0.5128, 0.7582, 0.7414), Br at (0.9779, 0.3024, 0.0692) and Br at (0.9985, 0.7928, 0.2059).

As for the theoretical density: 3.506 Mg/m³. The calculation puts the volume at 324.4 Å³/cell. For the energy relative to the lowest polymorph listed for this composition, the calculation gives 36.9 meV/atom. As for the raw total energy: -2.638 eV/atom. The calculation puts the energy relative to the elements, uncorrected at -387 kJ/mol of formula units.

(5)
This record from the Alexandria database describes an optimized crystal structure of GaAgBr5. The functional is PBE.

The space group is C2/c (No. 15) and the conventional cell measures 11.3408, 7.7717 and 10.7261 Å, with angles of 90.00, 118.15 and 90.00 degrees. The asymmetric unit holds Ga at (0.0000, 0.0000, 0.0000), Ag at (0.0000, 0.4666, 0.2500), Br at (0.0000, 0.1219, 0.2500), Br at (0.0787, 0.2876, 0.9658) and Br at (0.2301, 0.1085, 0.6498).

As for the theoretical density: 4.599 Mg/m³. The calculation puts the volume at 833.5 Å³/cell. For the energy relative to the lowest polymorph listed for this composition, the calculation gives 186.7 meV/atom. As for the raw total energy: -2.387 eV/atom. The calculation puts the energy relative to the elements, uncorrected at -238 kJ/mol of formula units.

(6)
This record from the Alexandria database describes an optimized crystal structure of Ga2Ag2Br. The functional is PBE.

The space group is P4/mbm (No. 127) and the conventional cell measures 7.9083, 7.9083 and 3.3441 Å, with angles of 90.00, 90.00 and 90.00 degrees. The asymmetric unit holds Ga at (0.1691, 0.3309, 0.0000), Ag at (0.1280, 0.6280, 0.5000) and Br at (0.0000, 0.0000, 0.5000).

As for the theoretical density: 6.909 Mg/m³. The calculation puts the volume at 209.1 Å³/cell. As for the raw total energy: -2.668 eV/atom. The calculation puts the energy relative to the elements, uncorrected at 8 kJ/mol of formula units.